[1]
Below is a geometry-optimized PRuAuN structure, with properties calculated at the GGA-PBE level.

```
PRuAuN
1.0
1.5539 0.8971 7.0396
-1.5539 0.8971 7.0396
0.0000 -1.7943 7.0396
P Ru Au N
1 1 1 1
direct
0.0000 0.0000 0.0000
0.5878 0.5878 0.5878
0.1098 0.1098 0.1098
0.2099 0.2099 0.2099
```


[2]
Below is a geometry-optimized PRuAuN structure, with properties calculated at the GGA-PBE level.

```
PRuAuN
1.0
4.5109 0.0000 0.0000
0.0000 2.7750 0.0000
-0.6287 0.0000 5.6147
P Ru Au N
1 1 1 1
direct
0.0000 0.0000 0.0000
0.6677 0.5000 0.1709
0.8978 0.0000 0.5813
0.3551 0.0000 0.0987
```


| no. | uncorrected formation energy (meV per atom) |
| --- | --- |
| 1 | 283.6 |
| 2 | 173.7 |